(1)
Below is crystalline Rb2Cd2In at its relaxed geometry, with properties calculated at the PBEsol level.

The structure in POSCAR format:
```
Rb2Cd2In
1.0
5.982 0.000 0.000
0.000 7.656 0.000
0.000 0.000 7.656
Rb Cd In
4 4 2
Direct
0.500 0.321 0.179
0.500 0.179 0.679
0.500 0.821 0.321
0.500 0.679 0.821
0.000 0.636 0.136
0.000 0.364 0.864
0.000 0.864 0.636
0.000 0.136 0.364
0.000 0.500 0.500
0.000 0.000 0.000
```

Summary:
* space group: P4/mbm (127)



(2)
Below is crystalline Ba2HfTaIr at its relaxed geometry, with properties calculated at the PBEsol level.

The structure in POSCAR format:
```
Ba2HfTaIr
1.0
4.680 0.000 0.000
0.000 5.907 0.000
0.000 0.000 5.907
Ir Hf Ta Ba
1 1 1 2
Direct
0.500 0.000 0.000
0.500 0.500 0.500
0.000 0.000 0.000
0.000 0.000 0.500
0.000 0.500 0.000
```

Summary:
* space group: P4/mmm (123)



(3)
Below is crystalline Ba2NaFe6As6 at its relaxed geometry, with properties calculated at the PBEsol level.

The structure in POSCAR format:
```
Ba2NaFe6As6
1.0
-1.599 -1.681 4.843
1.653 -6.471 -1.700
6.968 4.960 1.045
As Fe Ba Na
6 6 2 1
Direct
0.550 0.298 0.100
0.883 0.299 0.767
0.216 0.301 0.432
0.784 0.699 0.568
0.450 0.702 0.900
0.117 0.701 0.233
0.084 0.499 0.667
0.417 0.501 0.333
0.749 0.500 0.000
0.583 0.499 0.667
0.251 0.500 0.000
0.916 0.501 0.333
0.338 0.000 0.676
0.662 0.000 0.324
0.000 0.000 0.000
```

Summary:
* space group: C2/m (12)



Formation energy in eV/atom, matching the order above: 0.027 1.460 -0.473